VASP calculation (GGA-PBE) on Pm8Co3PdCl4 after structural relaxation.

Unit cell a=7.9914 b=7.9914 c=22.4005 alpha=90.00 beta=90.00 gamma=120.00
Space group R-3m (No. 166, hexagonal axes)
Asymmetric unit:
Pm  0.0000  0.0000  0.2339 (multiplicity 6)
Pm  0.0154  0.5077  0.7657 (multiplicity 18)
Co  0.0000  0.5000  0.5000 (multiplicity 9)
Pd  0.0000  0.0000  0.5000 (multiplicity 3)
Cl  0.0000  0.0000  0.0000 (multiplicity 3)
Cl  0.0000  0.5000  0.0000 (multiplicity 9)

## Properties
Its total energy is -5.404 eV/atom.

VASP calculation (GGA-PBE) on Sr4Th3NpP8 after structural relaxation.

Unit cell a=8.4627 b=8.4627 c=21.0141 alpha=90.00 beta=90.00 gamma=120.00
Space group R-3m (No. 166, hexagonal axes)
Asymmetric unit:
Sr  0.0000  0.0000  0.0000 (multiplicity 3)
Sr  0.0000  0.5000  0.0000 (multiplicity 9)
Th  0.0000  0.5000  0.5000 (multiplicity 9)
Np  0.0000  0.0000  0.5000 (multiplicity 3)
P  0.0000  0.0000  0.2417 (multiplicity 6)
P  0.0080  0.5040  0.2399 (multiplicity 18)

## Properties
As for the energy of formation: -1.265 eV/atom.

VASP calculation (GGA-PBE) on LaY4Tl after structural relaxation.

Unit cell a=5.736 b=21.193 c=6.576 alpha=90.00 beta=90.00 gamma=90.00
Space group Cmc2_1 (No. 36)
Asymmetric unit:
La  0.000  0.136  0.000 (multiplicity 4)
Y  0.000  0.058  0.502 (multiplicity 4)
Y  0.000  0.255  0.611 (multiplicity 4)
Y  0.000  0.315  0.128 (multiplicity 4)
Y  0.000  0.459  0.322 (multiplicity 4)
Tl  0.000  0.400  0.759 (multiplicity 4)

## Properties
As for the energy of formation: 0.030 eV/atom. Its energy relative to the lowest polymorph listed for this composition is 0.0 meV per atom.

VASP calculation (GGA-PBE) on CsVSn2 after structural relaxation.

Unit cell a=7.780 b=7.780 c=7.780 alpha=90.00 beta=90.00 gamma=90.00
Space group Fm-3m (No. 225)
Asymmetric unit:
Cs  0.000  0.000  0.000 (multiplicity 4)
V  0.000  0.000  0.500 (multiplicity 4)
Sn  0.250  0.250  0.250 (multiplicity 8)

## Properties
As for the energy of formation: 0.676 eV/atom. Its energy relative to the lowest polymorph listed for this composition is 223.5 meV per atom.

VASP calculation (GGA-PBE) on LiThZnPt2 after structural relaxation.

Unit cell a=5.349 b=6.732 c=5.417 alpha=90.00 beta=90.00 gamma=90.00
Space group Pmma (No. 51)
Asymmetric unit:
Li  0.250  0.000  0.046 (multiplicity 2)
Th  0.250  0.500  0.242 (multiplicity 2)
Zn  0.000  0.000  0.500 (multiplicity 2)
Pt  0.250  0.290  0.725 (multiplicity 4)

## Properties
As for the energy of formation: -0.784 eV/atom.

VASP calculation (GGA-PBE) on RuWCl2 after structural relaxation.

Unit cell a=2.943 b=2.943 c=8.578 alpha=90.00 beta=90.00 gamma=90.00
Space group P4mm (No. 99)
Asymmetric unit:
Ru  0.000  0.000  0.000 (multiplicity 1)
W  0.500  0.500  0.194 (multiplicity 1)
Cl  0.000  0.000  0.389 (multiplicity 1)
Cl  0.500  0.500  0.793 (multiplicity 1)

## Properties
Its energy relative to the lowest polymorph listed for this composition is 199.1 meV per atom.

VASP calculation (GGA-PBE) on ScOs after structural relaxation.

Unit cell a=5.366 b=5.366 c=5.352 alpha=90.00 beta=90.00 gamma=90.00
Space group P4_2/mnm (No. 136)
Asymmetric unit:
Sc  0.199  0.199  0.000 (multiplicity 4)
Os  0.173  0.173  0.500 (multiplicity 4)

## Properties
As for the energy of formation: 0.502 eV/atom.

VASP calculation (GGA-PBE) on PmDyHf after structural relaxation.

Unit cell a=5.3932 b=5.3932 c=3.3738 alpha=90.00 beta=90.00 gamma=120.00
Space group P-6m2 (No. 187)
Asymmetric unit:
Pm  0.0000  0.0000  0.0000 (multiplicity 1)
Dy  0.6667  0.3333  0.5000 (multiplicity 1)
Hf  0.3333  0.6667  0.0000 (multiplicity 1)

## Properties
As for the energy of formation: 0.225 eV/atom. Its energy relative to the lowest polymorph listed for this composition is 86.8 meV per atom.